Below is CaNb2CuTe at its PBEsol-relaxed geometry, with properties calculated at the SCAN level.

As for the crystal system: tetragonal. The raw total energy is -23.6907 eV per atom. As for the total magnetic moment: 0.000 μB per atom. Its energy relative to the elements, uncorrected is 1.984 eV per atom.

Cell lengths 4.9207, 4.9207, 4.4905 Å; angles 90.00, 90.00, 90.00 degrees
With the nearest neighbours (Å) after each atom.
Space group P4/mmm (No. 123)
Asymmetric unit:
Ca 0.0000 0.0000 0.0000 (multiplicity 1)  2 Cu 2.25, 4 Nb 2.46
Nb 0.0000 0.5000 0.0000 (multiplicity 2)  2 Ca 2.46
Cu 0.0000 0.0000 0.5000 (multiplicity 1)  2 Ca 2.25
Te 0.5000 0.5000 0.5000 (multiplicity 1)  8 Nb 3.33, 4 Cu 3.48